Rb3Na2ReO6 PBE optimized geometry; total energy = -66.72 eV per cell; V = 15.55 Å³/atom; energy above the lowest structure with this stoichiometry = 8 meV per atom
1.0
2.972 -5.137 0.000
2.972 5.137 0.000
-1.923 0.000 6.111
Rb Na Re O
3 2 1 6
Direct
0.000 0.000 0.000
0.323 0.677 0.000
0.677 0.323 0.000
0.166 0.834 0.500
0.834 0.166 0.500
0.500 0.500 0.500
0.174 0.440 0.324
0.297 0.297 0.684
0.440 0.174 0.324
0.560 0.826 0.676
0.703 0.703 0.316
0.826 0.560 0.676